PmAsH2Rh2 | GGA-PBE | relaxed

POSCAR file:
```
PmAsH2Rh2
1.0
-1.0756 -4.9547 -2.3285
4.1583 -2.0400 2.4201
-4.4106 -1.0955 4.3683
Pm As H Rh
2 2 4 4
Cartesian
-2.5924 -5.0287 1.8717 Pm
1.2646 -3.0615 2.5883 Pm
-3.2954 -2.6824 3.8880 As
1.9676 -5.4078 0.5719 As
-0.9719 -2.1469 1.6753 H
-0.6385 -3.2902 3.9540 H
-0.3559 -5.9433 2.7846 H
-0.6893 -4.8000 0.5059 H
-0.7366 -3.0747 0.1541 Rh
-1.2672 -5.5191 -0.9946 Rh
-0.0606 -2.5712 5.4545 Rh
-0.5912 -5.0155 4.3058 Rh
```

Its electronic total energy is -5.638 eV per atom. The magnetization comes out at 0.0 μB per formula unit. As for the calculated volume: 15.10 Å³/atom. The density of states at the Fermi level comes out at 3.3 states/eV/f.u. As for the space group: P2_1/m, No. 11.

=====

PmAsHRh | GGA-PBE | relaxed

POSCAR file:
```
PmAsHRh
1.0
4.0823 0.0000 0.0000
0.0000 4.0823 0.0000
0.0000 0.0000 7.5493
Pm As H Rh
2 2 2 2
Cartesian
2.0412 0.0000 4.9937 Pm
0.0000 2.0412 2.5557 Pm
0.0000 2.0412 6.0709 As
2.0412 0.0000 1.4785 As
0.0000 0.0000 3.7747 H
2.0412 2.0412 3.7747 H
2.0412 2.0412 0.0000 Rh
0.0000 0.0000 0.0000 Rh
```

Its electronic total energy is -5.923 eV per atom. The magnetization comes out at 0.0 μB per formula unit. As for the calculated volume: 15.73 Å³/atom. The density of states at the Fermi level comes out at 1.8 states/eV/f.u. As for the space group: P4/nmm, No. 129.

=====

PmAsH2Ru | GGA-PBE | relaxed

POSCAR file:
```
PmAsH2Ru
1.0
-1.3030 2.8114 -2.5722
-0.0476 -5.0705 -2.3654
-5.7021 -0.8570 1.9519
Pm As H Ru
2 2 4 2
Cartesian
-5.2224 -0.7800 -1.3595 Pm
-1.8303 -2.3362 -1.6262 Pm
-4.8757 -3.7834 -1.6653 As
-2.1770 0.6673 -1.3204 As
-5.5729 -1.9925 0.6454 H
-1.4798 -1.1237 -3.6311 H
-3.4338 -1.6710 -0.0869 H
-3.6189 -1.4452 -2.8988 H
0.0000 0.0000 0.0000 Ru
-2.8510 -0.4285 0.9760 Ru
```

Its electronic total energy is -5.706 eV per atom. The magnetization comes out at 0.0 μB per formula unit. As for the calculated volume: 12.80 Å³/atom. The density of states at the Fermi level comes out at 1.5 states/eV/f.u. As for the space group: Cmcm, No. 63.

=====

Pm4AsHS2 | GGA-PBE | relaxed

POSCAR file:
```
Pm4AsHS2
1.0
4.0159 0.0000 0.0000
-2.0080 6.6375 0.0000
0.0000 0.0000 13.6000
Pm As H S
8 2 2 4
Cartesian
0.0000 3.6454 1.6400 Pm
2.0080 2.9921 8.4400 Pm
2.0080 2.9921 11.9600 Pm
0.0000 3.6454 5.1600 Pm
0.0000 0.0000 6.8000 Pm
0.0000 0.0000 0.0000 Pm
0.0000 5.8911 10.2000 Pm
2.0080 0.7464 3.4000 Pm
0.0000 1.4074 10.2000 As
2.0080 5.2300 3.4000 As
2.0080 4.5124 10.2000 H
0.0000 2.1251 3.4000 H
0.0000 4.8400 7.6608 S
2.0080 1.7975 0.8608 S
2.0080 1.7975 5.9393 S
0.0000 4.8400 12.7393 S
```

Its electronic total energy is -5.917 eV per atom. The magnetization comes out at 0.0 μB per formula unit. As for the calculated volume: 22.66 Å³/atom. The density of states at the Fermi level comes out at 3.3 states/eV/f.u. As for the space group: Cmcm, No. 63.